(1)
Here is a relaxed structure of SiAgIr2Os from Alexandria via LeMat-Bulk. Energies are from PBEsol.

Values from the calculation:
ΔE_f (raw) = 9.42 eV per formula unit
density = 11.0 Mg/m³

Cell: 4.647 4.647 4.956 Å, 90.00 90.00 90.00°
Space group P4/mmm (No. 123)
Unique sites:
Si1 0.000 0.000 0.000
Ag1 0.500 0.500 0.000
Ir1 0.000 0.500 0.500
Os1 0.500 0.500 0.500

=====

(2)
Here is a relaxed structure of AgPIr2 from Alexandria via LeMat-Bulk. Energies are from PBEsol.

Values from the calculation:
density = 13.9 Mg/m³
formation energy = 0.58 eV/f.u.

Cell: 9.951 2.795 5.061 Å, 90.00 117.62 90.00°
Space group Cm (No. 8)
Unique sites:
Ag1 0.000 0.000 0.000
P1 0.321 0.500 0.249
Ir1 0.033 0.500 0.542
Ir2 0.257 0.000 0.548

=====

(3)
Here is a relaxed structure of AgPIr2 from Alexandria via LeMat-Bulk. Energies are from PBEsol.

Values from the calculation:
density = 15.0 Mg/m³
formation energy = 2.16 eV/f.u.

Cell: 3.889 3.889 7.638 Å, 90.00 90.00 90.00°
Space group I-4m2 (No. 119)
Unique sites:
Ag1 0.000 0.000 0.000
P1 0.000 0.500 0.750
Ir1 0.000 0.000 0.500
Ir2 0.000 0.500 0.250

=====

(4)
Here is a relaxed structure of Ag2PIr from Alexandria via LeMat-Bulk. Energies are from PBEsol.

Values from the calculation:
density = 11.7 Mg/m³
formation energy = -0.09 eV/f.u.

Cell: 2.901 2.901 7.382 Å, 90.00 90.00 90.00°
Space group P4mm (No. 99)
Unique sites:
Ag1 0.000 0.000 0.000
Ag2 0.500 0.500 0.269
P1 0.500 0.500 0.718
Ir1 0.000 0.000 0.552

=====

(5)
Here is a relaxed structure of AgPIr2 from Alexandria via LeMat-Bulk. Energies are from PBEsol.

Values from the calculation:
density = 15.0 Mg/m³
formation energy = 0.44 eV/f.u.

Cell: 2.848 4.578 8.862 Å, 90.00 90.00 90.00°
Space group Immm (No. 71)
Unique sites:
Ag1 0.000 0.000 0.000
P1 0.000 0.000 0.500
Ir1 0.000 0.500 0.206

=====

(6)
Here is a relaxed structure of AgIr2Pb from Alexandria via LeMat-Bulk. Energies are from PBEsol.

Values from the calculation:
density = 17.5 Mg/m³
formation energy = 2.02 eV/f.u.

Cell: 4.113 4.113 3.921 Å, 90.00 90.00 90.00°
Space group P4/mmm (No. 123)
Unique sites:
Ag1 0.000 0.000 0.000
Ir1 0.000 0.500 0.500
Pb1 0.500 0.500 0.000

=====

Question: Number 6 is which compound?
Answer: AgIr2Pb